[1]
A geometry-optimized BaNa4Nd structure. Source: the Alexandria database, functional PBE.

Cell and atoms, written as POSCAR:
```
BaNa4Nd
1.0
0.000 4.903 4.903
4.903 0.000 4.903
4.903 4.903 0.000
Ba Na Nd
1 4 1
direct
0.000 0.000 0.000 Ba
0.376 0.376 0.376 Na
0.376 0.376 0.872 Na
0.376 0.872 0.376 Na
0.872 0.376 0.376 Na
0.750 0.750 0.750 Nd
```

ΔH_f (0 K): 176 meV per atom
Volume: 39.28 Å³ per atom

---

[2]
A geometry-optimized CaScCd2 structure. Source: the Alexandria database, functional PBE.

Cell and atoms, written as POSCAR:
```
CaScCd2
1.0
3.506 0.000 0.000
0.000 5.298 0.000
0.000 0.000 10.930
Ca Sc Cd
2 2 4
direct
0.000 0.000 0.000 Ca
0.500 0.500 0.500 Ca
0.000 0.500 0.212 Sc
0.500 0.000 0.712 Sc
0.000 0.000 0.481 Cd
0.000 0.500 0.760 Cd
0.500 0.000 0.260 Cd
0.500 0.500 0.981 Cd
```

ΔH_f (0 K): -172 meV per atom
Volume: 25.38 Å³ per atom

---

[3]
A geometry-optimized Zn3NiAu structure. Source: the Alexandria database, functional PBE.

Cell and atoms, written as POSCAR:
```
Zn3NiAu
1.0
3.741 0.000 0.000
-0.034 6.111 0.000
-0.004 -0.383 6.289
Zn Ni Au
6 2 2
direct
0.250 0.031 0.350 Zn
0.250 0.465 0.153 Zn
0.250 0.648 0.541 Zn
0.750 0.352 0.459 Zn
0.750 0.535 0.847 Zn
0.750 0.969 0.650 Zn
0.250 0.263 0.722 Ni
0.750 0.737 0.278 Ni
0.251 0.832 0.944 Au
0.749 0.168 0.056 Au
```

ΔH_f (0 K): -157 meV per atom
Volume: 14.38 Å³ per atom
Offset from the most stable computed form: 0.00 eV per formula unit

---

What did the second record say?
A geometry-optimized CaScCd2 structure. Source: the Alexandria database, functional PBE.

Cell and atoms, written as POSCAR:
```
CaScCd2
1.0
3.506 0.000 0.000
0.000 5.298 0.000
0.000 0.000 10.930
Ca Sc Cd
2 2 4
direct
0.000 0.000 0.000 Ca
0.500 0.500 0.500 Ca
0.000 0.500 0.212 Sc
0.500 0.000 0.712 Sc
0.000 0.000 0.481 Cd
0.000 0.500 0.760 Cd
0.500 0.000 0.260 Cd
0.500 0.500 0.981 Cd
```

ΔH_f (0 K): -172 meV per atom
Volume: 25.38 Å³ per atom